Model w:
ZrTe2AsI | PBE-GGA | optimized geometry

a = 5.449 Å, b = 5.449 Å, c = 5.330 Å
α = 90.00°, β = 90.00°, γ = 90.00°
Fractional coordinates of all 5 atoms:
1 Zr 0.000 0.000 0.000
2 Te 0.000 0.500 0.500
3 Te 0.500 0.000 0.500
4 As 0.500 0.500 0.500
5 I 0.500 0.500 0.000

Values from the calculation:
Total magnetic moment, μB/f.u.: 1.3
D(E_F), states/eV/f.u.: 5.66



Model x:
ZrTe2AsI | PBE-GGA | optimized geometry

a = 5.625 Å, b = 5.625 Å, c = 5.789 Å
α = 90.00°, β = 90.00°, γ = 90.00°
Fractional coordinates of all 5 atoms:
1 Zr 0.000 0.000 0.000
2 Te 0.000 0.500 0.000
3 Te 0.500 0.000 0.000
4 As 0.500 0.500 0.500
5 I 0.000 0.000 0.500

Values from the calculation:
Total magnetic moment, μB/f.u.: 2.4
D(E_F), states/eV/f.u.: 2.94



It is model x that is the most stable of them.



Model w:
TiAsI2 | PBE-GGA | optimized geometry

a = 10.310 Å, b = 10.310 Å, c = 4.945 Å
α = 90.00°, β = 90.00°, γ = 90.00°
Fractional coordinates of all 16 atoms:
1 Ti 0.000 0.000 0.000
2 Ti 0.000 0.500 0.250
3 Ti 0.500 0.000 0.750
4 Ti 0.500 0.500 0.500
5 As 0.000 0.000 0.500
6 As 0.000 0.500 0.750
7 As 0.500 0.000 0.250
8 As 0.500 0.500 0.000
9 I 0.094 0.250 0.125
10 I 0.250 0.594 0.375
11 I 0.250 0.906 0.875
12 I 0.406 0.250 0.625
13 I 0.594 0.750 0.625
14 I 0.750 0.094 0.875
15 I 0.750 0.406 0.375
16 I 0.906 0.750 0.125

Values from the calculation:
Total magnetic moment, μB/f.u.: 0.0
D(E_F), states/eV/f.u.: 5.51



Model x:
TiAsI2 | PBE-GGA | optimized geometry

a = 7.212 Å, b = 7.212 Å, c = 7.212 Å
α = 90.00°, β = 90.00°, γ = 90.00°
Fractional coordinates of all 16 atoms:
1 Ti 0.000 0.000 0.000
2 Ti 0.000 0.500 0.500
3 Ti 0.500 0.000 0.500
4 Ti 0.500 0.500 0.000
5 As 0.000 0.000 0.500
6 As 0.000 0.500 0.000
7 As 0.500 0.000 0.000
8 As 0.500 0.500 0.500
9 I 0.250 0.250 0.250
10 I 0.250 0.250 0.750
11 I 0.250 0.750 0.250
12 I 0.250 0.750 0.750
13 I 0.750 0.250 0.250
14 I 0.750 0.250 0.750
15 I 0.750 0.750 0.250
16 I 0.750 0.750 0.750

Values from the calculation:
Total magnetic moment, μB/f.u.: 0.0
D(E_F), states/eV/f.u.: 3.44



It is model w that is the most stable of them.



Model w:
TiAs2I | PBE-GGA | optimized geometry

a = 6.936 Å, b = 6.936 Å, c = 6.936 Å
α = 90.00°, β = 90.00°, γ = 90.00°
Fractional coordinates of all 16 atoms:
1 Ti 0.000 0.000 0.000
2 Ti 0.000 0.500 0.500
3 Ti 0.500 0.000 0.500
4 Ti 0.500 0.500 0.000
5 As 0.250 0.250 0.250
6 As 0.250 0.250 0.750
7 As 0.250 0.750 0.250
8 As 0.250 0.750 0.750
9 As 0.750 0.250 0.250
10 As 0.750 0.250 0.750
11 As 0.750 0.750 0.250
12 As 0.750 0.750 0.750
13 I 0.000 0.000 0.500
14 I 0.000 0.500 0.000
15 I 0.500 0.000 0.000
16 I 0.500 0.500 0.500

Values from the calculation:
Total magnetic moment, μB/f.u.: 0.0
D(E_F), states/eV/f.u.: 5.41



Model x:
TiAs2I | PBE-GGA | optimized geometry

a = 5.133 Å, b = 5.133 Å, c = 17.265 Å
α = 90.00°, β = 90.00°, γ = 90.00°
Fractional coordinates of all 16 atoms:
1 Ti 0.000 0.000 0.000
2 Ti 0.000 0.500 0.250
3 Ti 0.500 0.000 0.750
4 Ti 0.500 0.500 0.500
5 As 0.011 0.250 0.125
6 As 0.250 0.511 0.375
7 As 0.250 0.989 0.875
8 As 0.489 0.250 0.625
9 As 0.511 0.750 0.625
10 As 0.750 0.011 0.875
11 As 0.750 0.489 0.375
12 As 0.989 0.750 0.125
13 I 0.000 0.000 0.500
14 I 0.000 0.500 0.750
15 I 0.500 0.000 0.250
16 I 0.500 0.500 0.000

Values from the calculation:
Total magnetic moment, μB/f.u.: 0.0
D(E_F), states/eV/f.u.: 2.24



It is model x that is the most stable of them.



Model w:
TiTlAsI2 | PBE-GGA | optimized geometry

a = 6.227 Å, b = 6.227 Å, c = 5.605 Å
α = 90.00°, β = 90.00°, γ = 90.00°
Fractional coordinates of all 5 atoms:
1 Ti 0.000 0.000 0.000
2 Tl 0.000 0.000 0.500
3 As 0.500 0.500 0.000
4 I 0.000 0.500 0.500
5 I 0.500 0.000 0.500

Values from the calculation:
Total magnetic moment, μB/f.u.: 0.7
D(E_F), states/eV/f.u.: 12.65



Model x:
TiTlAsI2 | PBE-GGA | optimized geometry

a = 6.036 Å, b = 6.036 Å, c = 5.329 Å
α = 90.00°, β = 90.00°, γ = 90.00°
Fractional coordinates of all 5 atoms:
1 Ti 0.000 0.000 0.000
2 Tl 0.500 0.500 0.500
3 As 0.500 0.500 0.000
4 I 0.000 0.500 0.500
5 I 0.500 0.000 0.500

Values from the calculation:
Total magnetic moment, μB/f.u.: 1.1
D(E_F), states/eV/f.u.: 14.67



It is model x that is the most stable of them.



Model w:
Tl3AsI | PBE-GGA | optimized geometry

a = 8.288 Å, b = 4.590 Å, c = 10.347 Å
α = 90.00°, β = 103.12°, γ = 90.00°
Fractional coordinates of all 10 atoms:
1 Tl 0.024 0.250 0.148
2 Tl 0.337 0.250 0.016
3 Tl 0.355 0.250 0.638
4 Tl 0.645 0.750 0.362
5 Tl 0.663 0.750 0.984
6 Tl 0.976 0.750 0.852
7 As 0.322 0.750 0.833
8 As 0.678 0.250 0.167
9 I 0.211 0.750 0.354
10 I 0.789 0.250 0.646

Values from the calculation:
Total magnetic moment, μB/f.u.: 0.0
D(E_F), states/eV/f.u.: 1.87



Model x:
Tl3AsI | PBE-GGA | optimized geometry

a = 5.876 Å, b = 5.876 Å, c = 5.876 Å
α = 90.00°, β = 90.00°, γ = 90.00°
Fractional coordinates of all 5 atoms:
1 Tl 0.000 0.000 0.500
2 Tl 0.000 0.500 0.000
3 Tl 0.500 0.000 0.000
4 As 0.000 0.000 0.000
5 I 0.500 0.500 0.500

Values from the calculation:
Total magnetic moment, μB/f.u.: 0.0
D(E_F), states/eV/f.u.: 4.05



Model y:
Tl3AsI | PBE-GGA | optimized geometry

a = 6.370 Å, b = 6.370 Å, c = 6.370 Å
α = 90.00°, β = 90.00°, γ = 90.00°
Fractional coordinates of all 5 atoms:
1 Tl 0.000 0.000 0.500
2 Tl 0.000 0.500 0.000
3 Tl 0.500 0.000 0.000
4 As 0.500 0.500 0.500
5 I 0.000 0.000 0.000

Values from the calculation:
Total magnetic moment, μB/f.u.: 1.0
D(E_F), states/eV/f.u.: 4.72



It is model w that is the most stable of them.



Model w:
Tl2AsI | PBE-GGA | optimized geometry

a = 7.897 Å, b = 7.897 Å, c = 7.897 Å
α = 90.00°, β = 90.00°, γ = 90.00°
Fractional coordinates of all 16 atoms:
1 Tl 0.250 0.250 0.250
2 Tl 0.250 0.250 0.750
3 Tl 0.250 0.750 0.250
4 Tl 0.250 0.750 0.750
5 Tl 0.750 0.250 0.250
6 Tl 0.750 0.250 0.750
7 Tl 0.750 0.750 0.250
8 Tl 0.750 0.750 0.750
9 As 0.000 0.000 0.000
10 As 0.000 0.500 0.500
11 As 0.500 0.000 0.500
12 As 0.500 0.500 0.000
13 I 0.000 0.000 0.500
14 I 0.000 0.500 0.000
15 I 0.500 0.000 0.000
16 I 0.500 0.500 0.500

Values from the calculation:
Total magnetic moment, μB/f.u.: 0.0
D(E_F), states/eV/f.u.: 1.96



Model x:
Tl2AsI | PBE-GGA | optimized geometry

a = 7.758 Å, b = 7.758 Å, c = 11.232 Å
α = 90.00°, β = 90.00°, γ = 90.00°
Fractional coordinates of all 16 atoms:
1 Tl 0.194 0.250 0.125
2 Tl 0.250 0.694 0.375
3 Tl 0.250 0.806 0.875
4 Tl 0.306 0.250 0.625
5 Tl 0.694 0.750 0.625
6 Tl 0.750 0.194 0.875
7 Tl 0.750 0.306 0.375
8 Tl 0.806 0.750 0.125
9 As 0.000 0.000 0.000
10 As 0.000 0.500 0.250
11 As 0.500 0.000 0.750
12 As 0.500 0.500 0.500
13 I 0.000 0.000 0.500
14 I 0.000 0.500 0.750
15 I 0.500 0.000 0.250
16 I 0.500 0.500 0.000

Values from the calculation:
Total magnetic moment, μB/f.u.: 0.0
D(E_F), states/eV/f.u.: 1.53



It is model x that is the most stable of them.



Model w:
As2WI | PBE-GGA | optimized geometry

a = 6.764 Å, b = 6.764 Å, c = 6.764 Å
α = 90.00°, β = 90.00°, γ = 90.00°
Fractional coordinates of all 16 atoms:
1 As 0.250 0.250 0.250
2 As 0.250 0.250 0.750
3 As 0.250 0.750 0.250
4 As 0.250 0.750 0.750
5 As 0.750 0.250 0.250
6 As 0.750 0.250 0.750
7 As 0.750 0.750 0.250
8 As 0.750 0.750 0.750
9 W 0.000 0.000 0.000
10 W 0.000 0.500 0.500
11 W 0.500 0.000 0.500
12 W 0.500 0.500 0.000
13 I 0.000 0.000 0.500
14 I 0.000 0.500 0.000
15 I 0.500 0.000 0.000
16 I 0.500 0.500 0.500

Values from the calculation:
Total magnetic moment, μB/f.u.: 0.0
D(E_F), states/eV/f.u.: 2.69



Model x:
As2WI | PBE-GGA | optimized geometry

a = 6.706 Å, b = 6.706 Å, c = 11.153 Å
α = 90.00°, β = 90.00°, γ = 90.00°
Fractional coordinates of all 16 atoms:
1 As 0.148 0.250 0.125
2 As 0.250 0.648 0.375
3 As 0.250 0.852 0.875
4 As 0.352 0.250 0.625
5 As 0.648 0.750 0.625
6 As 0.750 0.148 0.875
7 As 0.750 0.352 0.375
8 As 0.852 0.750 0.125
9 W 0.000 0.000 0.000
10 W 0.000 0.500 0.250
11 W 0.500 0.000 0.750
12 W 0.500 0.500 0.500
13 I 0.000 0.000 0.500
14 I 0.000 0.500 0.750
15 I 0.500 0.000 0.250
16 I 0.500 0.500 0.000

Values from the calculation:
Total magnetic moment, μB/f.u.: 0.0
D(E_F), states/eV/f.u.: 3.80



It is model x that is the most stable of them.



Model w:
AsWI3 | PBE-GGA | optimized geometry

a = 5.685 Å, b = 5.685 Å, c = 5.685 Å
α = 90.00°, β = 90.00°, γ = 90.00°
Fractional coordinates of all 5 atoms:
1 As 0.000 0.000 0.000
2 W 0.500 0.500 0.500
3 I 0.000 0.000 0.500
4 I 0.000 0.500 0.000
5 I 0.500 0.000 0.000

Values from the calculation:
Total magnetic moment, μB/f.u.: 5.2
D(E_F), states/eV/f.u.: 7.46



Model x:
AsWI3 | PBE-GGA | optimized geometry

a = 5.380 Å, b = 5.380 Å, c = 5.380 Å
α = 90.00°, β = 90.00°, γ = 90.00°
Fractional coordinates of all 5 atoms:
1 As 0.000 0.000 0.000
2 W 0.500 0.500 0.500
3 I 0.000 0.500 0.500
4 I 0.500 0.000 0.500
5 I 0.500 0.500 0.000

Values from the calculation:
Total magnetic moment, μB/f.u.: 0.0
D(E_F), states/eV/f.u.: 6.10



It is model x that is the most stable of them.



Model w:
AsW2I | PBE-GGA | optimized geometry

a = 6.501 Å, b = 6.501 Å, c = 6.501 Å
α = 90.00°, β = 90.00°, γ = 90.00°
Fractional coordinates of all 16 atoms:
1 As 0.000 0.000 0.000
2 As 0.000 0.500 0.500
3 As 0.500 0.000 0.500
4 As 0.500 0.500 0.000
5 W 0.250 0.250 0.250
6 W 0.250 0.250 0.750
7 W 0.250 0.750 0.250
8 W 0.250 0.750 0.750
9 W 0.750 0.250 0.250
10 W 0.750 0.250 0.750
11 W 0.750 0.750 0.250
12 W 0.750 0.750 0.750
13 I 0.000 0.000 0.500
14 I 0.000 0.500 0.000
15 I 0.500 0.000 0.000
16 I 0.500 0.500 0.500

Values from the calculation:
Total magnetic moment, μB/f.u.: 0.0
D(E_F), states/eV/f.u.: 3.57



Model x:
AsW2I | PBE-GGA | optimized geometry

a = 5.994 Å, b = 5.994 Å, c = 11.386 Å
α = 90.00°, β = 90.00°, γ = 90.00°
Fractional coordinates of all 16 atoms:
1 As 0.000 0.000 0.000
2 As 0.000 0.500 0.250
3 As 0.500 0.000 0.750
4 As 0.500 0.500 0.500
5 W 0.222 0.250 0.125
6 W 0.250 0.722 0.375
7 W 0.250 0.778 0.875
8 W 0.278 0.250 0.625
9 W 0.722 0.750 0.625
10 W 0.750 0.222 0.875
11 W 0.750 0.278 0.375
12 W 0.778 0.750 0.125
13 I 0.000 0.000 0.500
14 I 0.000 0.500 0.750
15 I 0.500 0.000 0.250
16 I 0.500 0.500 0.000

Values from the calculation:
Total magnetic moment, μB/f.u.: 2.6
D(E_F), states/eV/f.u.: 4.17



It is model w that is the most stable of them.



Model w:
YAs2I2 | PBE-GGA | optimized geometry

a = 3.718 Å, b = 3.718 Å, c = 23.691 Å
α = 90.00°, β = 90.00°, γ = 90.00°
Fractional coordinates of all 10 atoms:
1 Y 0.000 0.000 0.000
2 Y 0.500 0.500 0.500
3 As 0.000 0.500 0.250
4 As 0.000 0.500 0.750
5 As 0.500 0.000 0.250
6 As 0.500 0.000 0.750
7 I 0.000 0.000 0.421
8 I 0.000 0.000 0.579
9 I 0.500 0.500 0.079
10 I 0.500 0.500 0.921

Values from the calculation:
Total magnetic moment, μB/f.u.: 0.0
D(E_F), states/eV/f.u.: 8.24



Model x:
YAs2I2 | PBE-GGA | optimized geometry

a = 8.050 Å, b = 8.050 Å, c = 4.369 Å
α = 90.00°, β = 90.00°, γ = 90.00°
Fractional coordinates of all 10 atoms:
1 Y 0.000 0.000 0.000
2 Y 0.500 0.500 0.000
3 As 0.171 0.329 0.500
4 As 0.329 0.829 0.500
5 As 0.671 0.171 0.500
6 As 0.829 0.671 0.500
7 I 0.150 0.650 0.000
8 I 0.350 0.150 0.000
9 I 0.650 0.850 0.000
10 I 0.850 0.350 0.000

Values from the calculation:
Total magnetic moment, μB/f.u.: 0.0
D(E_F), states/eV/f.u.: 3.87



It is model w that is the most stable of them.



Model w:
YAs2I | PBE-GGA | optimized geometry

a = 4.480 Å, b = 4.480 Å, c = 22.241 Å
α = 90.00°, β = 90.00°, γ = 90.00°
Fractional coordinates of all 16 atoms:
1 Y 0.000 0.000 0.000
2 Y 0.000 0.500 0.250
3 Y 0.500 0.000 0.750
4 Y 0.500 0.500 0.500
5 As 0.146 0.250 0.125
6 As 0.250 0.646 0.375
7 As 0.250 0.854 0.875
8 As 0.354 0.250 0.625
9 As 0.646 0.750 0.625
10 As 0.750 0.146 0.875
11 As 0.750 0.354 0.375
12 As 0.854 0.750 0.125
13 I 0.000 0.000 0.500
14 I 0.000 0.500 0.750
15 I 0.500 0.000 0.250
16 I 0.500 0.500 0.000

Values from the calculation:
Total magnetic moment, μB/f.u.: 0.0
D(E_F), states/eV/f.u.: 0.92



Model x:
YAs2I | PBE-GGA | optimized geometry

a = 7.349 Å, b = 7.349 Å, c = 7.349 Å
α = 90.00°, β = 90.00°, γ = 90.00°
Fractional coordinates of all 16 atoms:
1 Y 0.000 0.000 0.000
2 Y 0.000 0.500 0.500
3 Y 0.500 0.000 0.500
4 Y 0.500 0.500 0.000
5 As 0.250 0.250 0.250
6 As 0.250 0.250 0.750
7 As 0.250 0.750 0.250
8 As 0.250 0.750 0.750
9 As 0.750 0.250 0.250
10 As 0.750 0.250 0.750
11 As 0.750 0.750 0.250
12 As 0.750 0.750 0.750
13 I 0.000 0.000 0.500
14 I 0.000 0.500 0.000
15 I 0.500 0.000 0.000
16 I 0.500 0.500 0.500

Values from the calculation:
Total magnetic moment, μB/f.u.: 0.0
D(E_F), states/eV/f.u.: 4.13



It is model w that is the most stable of them.



Model w:
ZnAsI | PBE-GGA | optimized geometry

a = 9.140 Å, b = 7.476 Å, c = 7.929 Å
α = 90.00°, β = 109.95°, γ = 90.00°
Fractional coordinates of all 12 atoms:
1 Zn 0.162 0.250 0.314
2 Zn 0.162 0.250 0.814
3 Zn 0.838 0.750 0.186
4 Zn 0.838 0.750 0.686
5 As 0.000 0.000 0.142
6 As 0.000 0.000 0.858
7 As 0.000 0.500 0.358
8 As 0.000 0.500 0.642
9 I 0.339 0.126 0.634
10 I 0.339 0.374 0.134
11 I 0.661 0.626 0.866
12 I 0.661 0.874 0.366

Values from the calculation:
Total magnetic moment, μB/f.u.: 0.0



Model x:
ZnAsI | PBE-GGA | optimized geometry

a = 4.012 Å, b = 5.284 Å, c = 11.291 Å
α = 95.53°, β = 99.46°, γ = 112.29°
Fractional coordinates of all 6 atoms:
1 Zn 0.112 0.066 0.171
2 Zn 0.888 0.934 0.829
3 As 0.172 0.344 0.000
4 As 0.828 0.656 0.000
5 I 0.286 0.873 0.673
6 I 0.714 0.127 0.327

Values from the calculation:
Total magnetic moment, μB/f.u.: 0.0
D(E_F), states/eV/f.u.: 0.30



It is model x that is the most stable of them.